# Ba3PmAl2O8 PBE-GGA optimized geometry
data_Ba3PmAl2O8
_space_group_name_H-M_alt 'P 1'
_space_group_IT_number 1
_cell_length_a 6.016
_cell_length_b 6.016
_cell_length_c 7.644
_cell_angle_alpha 90.00
_cell_angle_beta 90.00
_cell_angle_gamma 120.00
loop_
_space_group_symop_operation_xyz
'x,y,z'
loop_
_atom_site_label
_atom_site_fract_x
_atom_site_fract_y
_atom_site_fract_z
O1 0.667 0.333 0.005
O2 0.175 0.825 0.311
O3 0.333 0.667 0.995
O4 0.825 0.650 0.689
O5 0.350 0.175 0.689
O6 0.175 0.350 0.311
O7 0.650 0.825 0.311
O8 0.825 0.175 0.689
Ba1 0.333 0.667 0.668
Ba2 0.667 0.333 0.332
Ba3 0.000 0.000 0.000
Pm1 0.000 0.000 0.500
Al1 0.667 0.333 0.776
Al2 0.333 0.667 0.224
# electronic total energy = -6.925 eV/atom
# formation energy without anion corrections = -2.805 eV per atom
# DOS(E_F) = 0.706 states/eV per atom

---

# Ba2PmAl2O6 PBE-GGA optimized geometry
data_Ba2PmAl2O6
_space_group_name_H-M_alt 'P 1'
_space_group_IT_number 1
_cell_length_a 5.965
_cell_length_b 5.965
_cell_length_c 7.128
_cell_angle_alpha 65.26
_cell_angle_beta 65.26
_cell_angle_gamma 60.00
loop_
_space_group_symop_operation_xyz
'x,y,z'
loop_
_atom_site_label
_atom_site_fract_x
_atom_site_fract_y
_atom_site_fract_z
O1 0.745 0.246 0.264
O2 0.754 0.255 0.736
O3 0.255 0.754 0.736
O4 0.255 0.255 0.736
O5 0.745 0.745 0.264
O6 0.246 0.745 0.264
Al1 0.409 0.409 0.772
Al2 0.591 0.591 0.228
Ba1 0.205 0.205 0.384
Ba2 0.795 0.795 0.616
Pm1 0.000 0.000 0.000
# electronic total energy = -6.883 eV/atom
# formation energy without anion corrections = -2.716 eV per atom
# DOS(E_F) = 0.297 states/eV per atom

---

# Ba2PmAlO5 PBE-GGA optimized geometry
data_Ba2PmAlO5
_space_group_name_H-M_alt 'P 1'
_space_group_IT_number 1
_cell_length_a 3.525
_cell_length_b 7.975
_cell_length_c 11.475
_cell_angle_alpha 90.00
_cell_angle_beta 90.00
_cell_angle_gamma 102.77
loop_
_space_group_symop_operation_xyz
'x,y,z'
loop_
_atom_site_label
_atom_site_fract_x
_atom_site_fract_y
_atom_site_fract_z
Ba1 0.107 0.213 0.677
Ba2 0.131 0.263 0.330
Ba3 0.869 0.737 0.830
Ba4 0.893 0.787 0.177
Pm1 0.203 0.406 0.034
Pm2 0.797 0.594 0.534
O1 0.292 0.584 0.666
O2 0.965 0.930 0.490
O3 0.337 0.674 0.401
O4 0.655 0.311 0.509
O5 0.345 0.689 0.009
O6 0.496 0.993 0.791
O7 0.035 0.070 0.990
O8 0.504 0.007 0.291
O9 0.663 0.326 0.901
O10 0.708 0.416 0.166
Al1 0.451 0.902 0.426
Al2 0.549 0.098 0.926
# electronic total energy = -6.992 eV/atom
# formation energy without anion corrections = -2.866 eV per atom
# DOS(E_F) = 0.000 states/eV per atom